{
  "formula": "La2AsIr",
  "functional": "GGA-PBEsol",
  "state": "relaxed",
  "crystal_system": "orthorhombic",
  "energy_ev_per_atom": -7.228,
  "ef_ev_per_atom": -0.823,
  "lattice": [[3.549, -3.589, 0.000], [3.549, 3.589, 0.000], [0.000, 0.000, 3.689]],
  "species": ["La", "La", "As", "Ir"],
  "frac_coords": [[0.000, 0.500, 0.000], [0.500, 0.000, 0.000], [0.000, 0.000, 0.500], [0.500, 0.500, 0.500]]
}

{
  "formula": "LaYAs2",
  "functional": "GGA-PBEsol",
  "state": "relaxed",
  "polymorph_energy_mev_per_atom": 415.3,
  "crystal_system": "tetragonal",
  "energy_ev_per_atom": -6.734,
  "ef_ev_per_atom": -1.139,
  "lattice": [[-3.776, 3.776, 3.858], [3.776, -3.776, 3.858], [3.776, 3.776, -3.858]],
  "species": ["La", "La", "Y", "Y", "As", "As", "As", "As"],
  "frac_coords": [[0.000, 0.000, 0.000], [0.750, 0.250, 0.500], [0.250, 0.750, 0.500], [0.500, 0.500, 0.000], [0.140, 0.125, 0.515], [0.375, 0.860, 0.985], [0.610, 0.625, 0.485], [0.875, 0.390, 0.015]]
}

{
  "formula": "Tm",
  "functional": "GGA-PBEsol",
  "state": "relaxed",
  "polymorph_energy_mev_per_atom": 151.1,
  "crystal_system": "cubic",
  "energy_ev_per_atom": -4.748,
  "ef_ev_per_atom": 0.151,
  "lattice": [[-1.929, 1.929, 1.929], [1.929, -1.929, 1.929], [1.929, 1.929, -1.929]],
  "species": ["Tm"],
  "frac_coords": [[0.000, 0.000, 0.000]]
}

{
  "formula": "LiInAg2",
  "functional": "GGA-PBEsol",
  "state": "relaxed",
  "crystal_system": "monoclinic",
  "energy_ev_per_atom": -3.044,
  "ef_ev_per_atom": -0.151,
  "lattice": [[2.865, 0.000, 0.000], [0.000, 4.297, 0.000], [-1.272, 0.000, 5.615]],
  "species": ["Li", "In", "Ag", "Ag"],
  "frac_coords": [[0.000, 0.000, 0.000], [0.000, 0.000, 0.500], [0.423, 0.500, 0.233], [0.577, 0.500, 0.767]]
}

> What is the formula in the fourth record?

LiInAg2

> Number 2 is which compound?

LaYAs2